Entry 1:
TbNdHo2, relaxed, DFT PBE; E above lowest polymorph = 19 meV per atom; mass density = 8.18 Mg/m³; E_tot = -4.62 eV per atom; E_form = 18 meV/atom; space-group type = No. 166; DOS at the Fermi energy = 5.10 states/eV/f.u.
1.0
1.787 1.032 11.619
-1.787 1.032 11.619
0.000 -2.063 11.619
Tb Nd Ho
1 1 2
direct
0.000 0.000 0.000
0.500 0.500 0.500
0.251 0.251 0.251
0.749 0.749 0.749

***

Entry 2:
NaCrAs2Br, relaxed, DFT PBE; E above lowest polymorph = 0 meV per atom; mass density = 3.99 Mg/m³; E_tot = -4.55 eV per atom; formation energy from raw total energies = -83 kJ/mol of formula units; space-group type = No. 123; DOS at the Fermi energy = 2.79 states/eV/f.u.
1.0
4.609 0.000 0.000
0.000 4.609 0.000
0.000 0.000 5.976
Na Cr As Br
1 1 2 1
direct
0.000 0.000 0.000
0.500 0.500 0.500
0.000 0.500 0.500
0.500 0.000 0.500
0.500 0.500 0.000

***

Entry 3:
KIn2CuO4, relaxed, DFT PBE; mass density = 5.72 Mg/m³; E_tot = -4.99 eV per atom; formation energy from raw total energies = -909 kJ/mol of formula units; space-group type = No. 63; DOS at the Fermi energy = 1.81 states/eV/f.u.
1.0
1.705 -5.645 0.000
1.705 5.645 0.000
0.000 0.000 11.945
K In Cu O
2 4 2 8
direct
0.119 0.881 0.750
0.881 0.119 0.250
0.367 0.633 0.551
0.367 0.633 0.949
0.633 0.367 0.051
0.633 0.367 0.449
0.143 0.857 0.250
0.857 0.143 0.750
0.000 0.000 0.000
0.000 0.000 0.500
0.253 0.747 0.098
0.253 0.747 0.402
0.426 0.574 0.750
0.574 0.426 0.250
0.747 0.253 0.598
0.747 0.253 0.902

***

Entry 4:
Ac3ScGa2Pd6, relaxed, DFT PBE; mass density = 8.83 Mg/m³; E_tot = -5.33 eV per atom; E_form = -672 meV/atom; space-group type = No. 164; DOS at the Fermi energy = 5.57 states/eV/f.u.
1.0
6.015 0.000 0.000
-3.008 5.209 0.000
0.000 0.000 9.022
Ac Sc Ga Pd
3 1 2 6
direct
0.000 0.000 0.000
0.333 0.667 0.640
0.667 0.333 0.360
0.000 0.000 0.500
0.333 0.667 0.043
0.667 0.333 0.957
0.176 0.352 0.283
0.176 0.824 0.283
0.352 0.176 0.717
0.648 0.824 0.283
0.824 0.176 0.717
0.824 0.648 0.717

***

Entry 5:
Pa2GaOs2, relaxed, DFT PBE; mass density = 15.24 Mg/m³; E_tot = -9.36 eV per atom; E_form = -467 meV/atom; space-group type = No. 71; DOS at the Fermi energy = 4.11 states/eV/f.u.
1.0
-2.214 2.936 3.824
2.214 -2.936 3.824
2.214 2.936 -3.824
Pa Ga Os
2 1 2
direct
0.187 0.187 0.000
0.813 0.813 0.000
0.500 0.000 0.500
0.251 0.500 0.751
0.749 0.500 0.249

***

Entry 6:
CaTa2CdRu, relaxed, DFT PBE; mass density = 8.33 Mg/m³; E_tot = -6.49 eV per atom; E_form = 692 meV/atom; space-group type = No. 123; DOS at the Fermi energy = 6.03 states/eV/f.u.
1.0
4.815 0.000 0.000
0.000 4.815 0.000
0.000 0.000 5.289
Ca Ta Cd Ru
1 2 1 1
direct
0.000 0.000 0.000
0.000 0.500 0.500
0.500 0.000 0.500
0.500 0.500 0.000
0.500 0.500 0.500

***

Entry 7:
SrLaPd, relaxed, DFT PBE; E above lowest polymorph = 93 meV per atom; mass density = 4.89 Mg/m³; E_tot = -4.37 eV per atom; E_form = -432 meV/atom; space-group type = No. 156; DOS at the Fermi energy = 3.10 states/eV/f.u.
1.0
4.291 0.000 0.000
-2.146 3.716 0.000
0.000 0.000 7.095
Sr La Pd
1 1 1
direct
0.000 0.000 0.000
0.667 0.333 0.524
0.333 0.667 0.733

***

Entry 8:
ReHgMo3, relaxed, DFT PBE; E above lowest polymorph = 0 meV per atom; mass density = 10.39 Mg/m³; E_tot = -7.46 eV per atom; E_form = 1584 meV/atom; space-group type = No. 221; DOS at the Fermi energy = 5.74 states/eV/f.u.
1.0
4.760 0.000 0.000
0.000 4.760 0.000
0.000 0.000 4.760
Re Hg Mo
1 1 3
direct
0.000 0.000 0.000
0.500 0.500 0.500
0.000 0.000 0.500
0.000 0.500 0.000
0.500 0.000 0.000

***

What did the second record say?
NaCrAs2Br, relaxed, DFT PBE; E above lowest polymorph = 0 meV per atom; mass density = 3.99 Mg/m³; E_tot = -4.55 eV per atom; formation energy from raw total energies = -83 kJ/mol of formula units; space-group type = No. 123; DOS at the Fermi energy = 2.79 states/eV/f.u.
1.0
4.609 0.000 0.000
0.000 4.609 0.000
0.000 0.000 5.976
Na Cr As Br
1 1 2 1
direct
0.000 0.000 0.000
0.500 0.500 0.500
0.000 0.500 0.500
0.500 0.000 0.500
0.500 0.500 0.000

***

- Look up the mass density of the seventh one.
  4.89 Mg/m³

***

- The highest mass density belongs to which entry?
  Pa2GaOs2